1.
The following is a DFT calculation (PBE) of Zr4ReBr after structural relaxation.

abc: 5.678 5.678 5.678
angles: 60.00 60.00 60.00
Sites, in units of the cell vectors:
1 Zr 0.372 0.372 0.883
2 Zr 0.372 0.883 0.372
3 Zr 0.883 0.372 0.372
4 Zr 0.372 0.372 0.372
5 Re 0.000 0.000 0.000
6 Br 0.750 0.750 0.750

Values from the calculation:
* space-group type: F-43m
* formation energy from raw total energies: 4.7 eV per formula unit



2.
The following is a DFT calculation (PBE) of Zr2ReBr after structural relaxation.

abc: 9.814 9.814 9.814
angles: 19.22 19.22 19.22
Sites, in units of the cell vectors:
1 Zr 0.247 0.247 0.247
2 Zr 0.006 0.006 0.006
3 Br 0.511 0.511 0.511
4 Re 0.736 0.736 0.736

Values from the calculation:
* E above lowest polymorph: 0.603 eV/atom
* space-group type: R3m
* formation energy from raw total energies: 0.6 eV per formula unit



3.
The following is a DFT calculation (PBE) of ZrRe2Br after structural relaxation.

abc: 5.564 5.564 4.474
angles: 86.93 86.93 32.81
Sites, in units of the cell vectors:
1 Zr 0.750 0.750 0.750
2 Re 0.031 0.031 0.949
3 Re 0.469 0.469 0.551
4 Br 0.250 0.250 0.250

Values from the calculation:
* E above lowest polymorph: 0.000 eV/atom
* space-group type: C2/m
* formation energy from raw total energies: 1.7 eV per formula unit



Calculated energy, -43.567; -30.655; -33.417 eV for the cell shown (same order as the records).